No. 1
Compound: CaNiS
Source: Alexandria
Functional: GGA-PBE
Structure: relaxed

The density of states at the Fermi level comes out at 0.000 states/eV per atom. Its energy relative to the elements, uncorrected is -1.011 eV/atom. The final energy is -4.981 eV per atom.

It has space group Cm (No. 8), with a = 8.857 Å, b = 3.996 Å, c = 6.836 Å, α = 90.00°, β = 96.13° and γ = 90.00°. The inequivalent atoms are Ca at (0.000, 0.000, 0.000), Ca at (0.207, 0.000, 0.552), Ni at (0.221, 0.500, 0.179), Ni at (0.465, 0.000, 0.325), S at (0.179, 0.500, 0.853) and S at (0.408, 0.500, 0.400).

---

No. 2
Compound: CaNiS
Source: Alexandria
Functional: GGA-PBE
Structure: relaxed

The density of states at the Fermi level comes out at 0.510 states/eV per atom. Its energy relative to the elements, uncorrected is -0.983 eV/atom. The final energy is -4.954 eV per atom.

It has space group Pnma (No. 62), with a = 8.671 Å, b = 3.880 Å, c = 6.839 Å, α = 90.00°, β = 90.00° and γ = 90.00°. The inequivalent atoms are Ca at (0.194, 0.250, 0.009), Ni at (0.027, 0.250, 0.387) and S at (0.055, 0.750, 0.251).

---

No. 3
Compound: CaNiS
Source: Alexandria
Functional: GGA-PBE
Structure: relaxed

The density of states at the Fermi level comes out at 0.506 states/eV per atom. Its energy relative to the elements, uncorrected is -0.934 eV/atom. The final energy is -4.904 eV per atom.

It has space group P-1 (No. 2), with a = 3.701 Å, b = 5.520 Å, c = 5.833 Å, α = 82.22°, β = 89.94° and γ = 70.55°. The inequivalent atoms are Ca at (0.108, 0.287, 0.314), Ni at (0.199, 0.103, 0.875) and S at (0.378, 0.742, 0.282).

---

No. 4
Compound: SrCaNi2S
Source: Alexandria
Functional: GGA-PBE
Structure: relaxed

The density of states at the Fermi level comes out at 0.986 states/eV per atom. Its energy relative to the elements, uncorrected is 0.203 eV/atom. The final energy is -3.671 eV per atom.

It has space group P4/mmm (No. 123), with a = 4.778 Å, b = 4.778 Å, c = 5.359 Å, α = 90.00°, β = 90.00° and γ = 90.00°. The inequivalent atoms are Sr at (0.000, 0.000, 0.000), Ca at (0.500, 0.500, 0.500), Ni at (0.000, 0.500, 0.500) and S at (0.500, 0.500, 0.000).

---

No. 5
Compound: Ca3U3NiS8
Source: Alexandria
Functional: GGA-PBE
Structure: relaxed

The density of states at the Fermi level comes out at 0.870 states/eV per atom. Its energy relative to the elements, uncorrected is -1.435 eV/atom. The final energy is -6.680 eV per atom.

It has space group R-3m (No. 166, hexagonal axes), with a = 7.6338 Å, b = 7.6338 Å, c = 20.1786 Å, α = 90.00°, β = 90.00° and γ = 120.00°. The inequivalent atoms are Ca at (0.0000, 0.5000, 0.0000), U at (0.0000, 0.5000, 0.5000), Ni at (0.0000, 0.0000, 0.5000), S at (0.0000, 0.0000, 0.2505) and S at (0.0142, 0.5071, 0.2430).

---

No. 6
Compound: CaUNi2S4
Source: Alexandria
Functional: GGA-PBE
Structure: relaxed

The density of states at the Fermi level comes out at 0.977 states/eV per atom. Its energy relative to the elements, uncorrected is -0.992 eV/atom. The final energy is -6.162 eV per atom.

It has space group Immm (No. 71), with a = 6.292 Å, b = 6.366 Å, c = 7.099 Å, α = 90.00°, β = 90.00° and γ = 90.00°. The inequivalent atoms are Ca at (0.000, 0.000, 0.000), U at (0.000, 0.000, 0.500), Ni at (0.000, 0.500, 0.197) and S at (0.250, 0.250, 0.250).